(1)
# Cd2CuRe

Cd2CuRe after structural relaxation (GGA-PBE, Alexandria).

Excess energy over the best structure of this formula in the dataset ... 0.57 eV/f.u.
Calculated formation energy ... 0.53 eV/atom
Fermi-level density of states ... 4.1 states/eV per cell
Spin magnetization ... 0.000 μB per atom
Density ... 11.6 g/cm3

```
data_Cd2CuRe
_chemical_formula_sum 'Cd2 Cu1 Re1'
_cell_length_a 2.777
_cell_length_b 4.154
_cell_length_c 5.912
_cell_angle_alpha 90.00
_cell_angle_beta 90.00
_cell_angle_gamma 90.00
_symmetry_space_group_name_H-M 'P m m 2'
_symmetry_Int_Tables_number 25
_symmetry_space_group_name_Hall 'P 2 -2'
loop_
_atom_site_label
_atom_site_type_symbol
_atom_site_fract_x
_atom_site_fract_y
_atom_site_fract_z
Cd1 Cd 0.000 0.000 0.000
Cd2 Cd 0.500 0.500 0.278
Cu1 Cu 0.000 0.000 0.546
Re1 Re 0.500 0.500 0.747
```



(2)
# Fe4Au

Fe4Au after structural relaxation (GGA-PBE, Alexandria).

Excess energy over the best structure of this formula in the dataset ... 7.63 eV/f.u.
Calculated formation energy ... 1.63 eV/atom
Fermi-level density of states ... 7.9 states/eV per cell
Spin magnetization ... 2.502 μB per atom
Density ... 6.7 g/cm3

```
data_Fe4Au
_chemical_formula_sum 'Fe4 Au1'
_cell_length_a 4.697
_cell_length_b 4.697
_cell_length_c 4.697
_cell_angle_alpha 90.00
_cell_angle_beta 90.00
_cell_angle_gamma 90.00
_symmetry_space_group_name_H-M 'P m -3 m'
_symmetry_Int_Tables_number 221
_symmetry_space_group_name_Hall '-P 4 2 3'
loop_
_atom_site_label
_atom_site_type_symbol
_atom_site_fract_x
_atom_site_fract_y
_atom_site_fract_z
Fe1 Fe 0.000 0.000 0.000
Fe2 Fe 0.000 0.500 0.500
Au1 Au 0.500 0.500 0.500
```



(3)
# NbFePCl2

NbFePCl2 after structural relaxation (GGA-PBE, Alexandria).

Excess energy over the best structure of this formula in the dataset ... 0.00 eV/f.u.
Raw formation energy ... 0.327 eV per atom
Fermi-level density of states ... 8.3 states/eV per cell
Spin magnetization ... 0.740 μB per atom
Density ... 3.6 g/cm3

```
data_NbFePCl2
_chemical_formula_sum 'Nb1 Fe1 P1 Cl2'
_cell_length_a 4.807
_cell_length_b 4.807
_cell_length_c 5.009
_cell_angle_alpha 90.00
_cell_angle_beta 90.00
_cell_angle_gamma 90.00
_symmetry_space_group_name_H-M 'P 4/m m m'
_symmetry_Int_Tables_number 123
_symmetry_space_group_name_Hall '-P 4 2'
loop_
_atom_site_label
_atom_site_type_symbol
_atom_site_fract_x
_atom_site_fract_y
_atom_site_fract_z
Nb1 Nb 0.000 0.000 0.000
Fe1 Fe 0.500 0.500 0.500
P1 P 0.000 0.000 0.500
Cl1 Cl 0.000 0.500 0.000
```



(4)
# Li2LaBiSe4

Li2LaBiSe4 after structural relaxation (GGA-PBE, Alexandria).

Raw formation energy ... -1.223 eV per atom
Spin magnetization ... 0.000 μB per atom
Density ... 5.6 g/cm3

```
data_Li2LaBiSe4
_chemical_formula_sum 'Li2 La1 Bi1 Se4'
_cell_length_a 7.005
_cell_length_b 4.229
_cell_length_c 7.286
_cell_angle_alpha 90.00
_cell_angle_beta 110.23
_cell_angle_gamma 90.00
_symmetry_space_group_name_H-M 'P 1 2/m 1'
_symmetry_Int_Tables_number 10
_symmetry_space_group_name_Hall '-P 2y'
loop_
_atom_site_label
_atom_site_type_symbol
_atom_site_fract_x
_atom_site_fract_y
_atom_site_fract_z
Li1 Li 0.000 0.000 0.000
Li2 Li 0.000 0.500 0.500
La1 La 0.500 0.000 0.500
Bi1 Bi 0.500 0.500 0.000
Se1 Se 0.236 0.000 0.751
Se2 Se 0.237 0.500 0.242
```



(5)
# Y2CdGe

Y2CdGe after structural relaxation (GGA-PBE, Alexandria).

Calculated formation energy ... -0.47 eV/atom
Fermi-level density of states ... 9.9 states/eV per cell
Spin magnetization ... 0.000 μB per atom
Density ... 5.4 g/cm3

```
data_Y2CdGe
_chemical_formula_sum 'Y6 Cd3 Ge3'
_cell_length_a 4.3699
_cell_length_b 4.3699
_cell_length_c 20.2041
_cell_angle_alpha 90.00
_cell_angle_beta 90.00
_cell_angle_gamma 120.00
_symmetry_space_group_name_H-M 'R -3 m'
_symmetry_Int_Tables_number 166
_symmetry_space_group_name_Hall '-R 3 2"'
loop_
_atom_site_label
_atom_site_type_symbol
_atom_site_fract_x
_atom_site_fract_y
_atom_site_fract_z
Y1 Y 0.0000 0.0000 0.2359
Cd1 Cd 0.0000 0.0000 0.0000
Ge1 Ge 0.0000 0.0000 0.5000
```



(6)
# HfTl2SiRu

HfTl2SiRu after structural relaxation (GGA-PBE, Alexandria).

Raw formation energy ... 1.201 eV per atom
Fermi-level density of states ... 6.1 states/eV per cell
Spin magnetization ... 0.354 μB per atom
Density ... 9.6 g/cm3

```
data_HfTl2SiRu
_chemical_formula_sum 'Hf1 Tl2 Si1 Ru1'
_cell_length_a 4.991
_cell_length_b 4.991
_cell_length_c 4.997
_cell_angle_alpha 90.00
_cell_angle_beta 90.00
_cell_angle_gamma 90.00
_symmetry_space_group_name_H-M 'P 4/m m m'
_symmetry_Int_Tables_number 123
_symmetry_space_group_name_Hall '-P 4 2'
loop_
_atom_site_label
_atom_site_type_symbol
_atom_site_fract_x
_atom_site_fract_y
_atom_site_fract_z
Hf1 Hf 0.000 0.000 0.000
Tl1 Tl 0.000 0.500 0.500
Si1 Si 0.000 0.000 0.500
Ru1 Ru 0.500 0.500 0.000
```



(7)
# DyTm4Ru2

DyTm4Ru2 after structural relaxation (GGA-PBE, Alexandria).

Calculated formation energy ... -0.30 eV/atom
Fermi-level density of states ... 12.0 states/eV per cell
Spin magnetization ... 0.000 μB per atom
Density ... 10.0 g/cm3

```
data_DyTm4Ru2
_chemical_formula_sum 'Dy2 Tm8 Ru4'
_cell_length_a 7.669
_cell_length_b 6.240
_cell_length_c 7.854
_cell_angle_alpha 90.00
_cell_angle_beta 112.55
_cell_angle_gamma 90.00
_symmetry_space_group_name_H-M 'P 1 21/m 1'
_symmetry_Int_Tables_number 11
_symmetry_space_group_name_Hall '-P 2yb'
loop_
_atom_site_label
_atom_site_type_symbol
_atom_site_fract_x
_atom_site_fract_y
_atom_site_fract_z
Dy1 Dy 0.023 0.250 0.164
Tm1 Tm 0.242 0.501 0.584
Tm2 Tm 0.327 0.750 0.251
Tm3 Tm 0.380 0.250 0.020
Ru1 Ru 0.024 0.250 0.741
Ru2 Ru 0.415 0.250 0.375
```



(8)
# CrAgI3

CrAgI3 after structural relaxation (GGA-PBE, Alexandria).

Excess energy over the best structure of this formula in the dataset ... 0.00 eV/f.u.
Raw formation energy ... 0.104 eV per atom
Fermi-level density of states ... 1.9 states/eV per cell
Spin magnetization ... 0.790 μB per atom
Density ... 5.2 g/cm3

```
data_CrAgI3
_chemical_formula_sum 'Cr1 Ag1 I3'
_cell_length_a 5.574
_cell_length_b 5.574
_cell_length_c 5.574
_cell_angle_alpha 90.00
_cell_angle_beta 90.00
_cell_angle_gamma 90.00
_symmetry_space_group_name_H-M 'P m -3 m'
_symmetry_Int_Tables_number 221
_symmetry_space_group_name_Hall '-P 4 2 3'
loop_
_atom_site_label
_atom_site_type_symbol
_atom_site_fract_x
_atom_site_fract_y
_atom_site_fract_z
Cr1 Cr 0.000 0.000 0.000
Ag1 Ag 0.500 0.500 0.500
I1 I 0.000 0.000 0.500
```